Entry 1:
First-principles (PBE) data for a relaxed structure of KAc2OsO5, as listed in the Alexandria database.

Lattice parameters (Å, degrees): 7.2912 7.2912 5.9461 90.00 90.00 90.00
Closest atoms and distances in Å follow each position.
Fractional coordinates of all 18 atoms:
K  0.0000  0.0000  0.0000  10 O 2.97-3.21
K  0.5000  0.5000  0.0000  10 O 2.97-3.21
Ac  0.1820  0.3180  0.5000  8 O 2.48-2.76
Ac  0.3180  0.8180  0.5000  8 O 2.48-2.76
Ac  0.6820  0.1820  0.5000  8 O 2.48-2.76
Ac  0.8180  0.6820  0.5000  8 O 2.48-2.76
Os  0.0000  0.5000  0.0000  4 O 1.96
Os  0.5000  0.0000  0.0000  4 O 1.96
O  0.0000  0.0000  0.5000  4 Ac 2.67, 2 K 2.97
O  0.1288  0.6288  0.2430  1 Os 1.96
O  0.1288  0.6288  0.7570  1 Os 1.96
O  0.3712  0.1288  0.2430  1 Os 1.96
O  0.3712  0.1288  0.7570  1 Os 1.96
O  0.5000  0.5000  0.5000  4 Ac 2.67, 2 K 2.97
O  0.6288  0.8712  0.2430  1 Os 1.96
O  0.6288  0.8712  0.7570  1 Os 1.96
O  0.8712  0.3712  0.2430  1 Os 1.96
O  0.8712  0.3712  0.7570  1 Os 1.96

Output
- space group = P4/mbm
- formation energy (no corrections) (eV/f.u.) = -20.4
- M_tot (μB per formula unit) = 3.0
- calculated density (g cm⁻³) = 8.020

Entry 2:
First-principles (PBE) data for a relaxed structure of CaTaTc2, as listed in the Alexandria database.

Lattice parameters (Å, degrees): 4.4808 4.4808 18.1747 90.00 90.00 90.00
Closest atoms and distances in Å follow each position.
Fractional coordinates of all 16 atoms:
Ca  0.0000  0.0000  0.0000  4 Tc 3.05, 4 Ta 3.17
Ca  0.0000  0.5000  0.2500  4 Tc 3.05, 4 Ta 3.17
Ca  0.5000  0.0000  0.7500  4 Tc 3.05, 4 Ta 3.17
Ca  0.5000  0.5000  0.5000  4 Tc 3.05, 4 Ta 3.17
Ta  0.0000  0.0000  0.5000  4 Tc 2.59
Ta  0.0000  0.5000  0.7500  4 Tc 2.59
Ta  0.5000  0.0000  0.2500  4 Tc 2.59
Ta  0.5000  0.5000  0.0000  4 Tc 2.59
Tc  0.1200  0.2500  0.6250  2 Tc 2.49, 2 Ta 2.59
Tc  0.2500  0.6200  0.8750  2 Tc 2.49, 2 Ta 2.59
Tc  0.2500  0.8800  0.3750  2 Tc 2.49, 2 Ta 2.59
Tc  0.3800  0.2500  0.1250  2 Tc 2.49, 2 Ta 2.59
Tc  0.6200  0.7500  0.1250  2 Tc 2.49, 2 Ta 2.59
Tc  0.7500  0.1200  0.3750  2 Tc 2.49, 2 Ta 2.59
Tc  0.7500  0.3800  0.8750  2 Tc 2.49, 2 Ta 2.59
Tc  0.8800  0.7500  0.6250  2 Tc 2.49, 2 Ta 2.59

Output
- relative energy among the computed polymorphs (eV/f.u.) = 3.38
- space group = I-42d
- M_tot (μB per formula unit) = 0.0
- calculated density (g cm⁻³) = 7.591

Entry 3:
First-principles (PBE) data for a relaxed structure of La2Ce3Ir4, as listed in the Alexandria database.

Lattice parameters (Å, degrees): 8.7148 8.7148 7.7205 90.00 90.00 130.35
Closest atoms and distances in Å follow each position.
Fractional coordinates of all 18 atoms:
La  0.1019  0.8981  0.9086  6 Ir 3.07-3.39
La  0.3981  0.6019  0.4086  6 Ir 3.07-3.39
La  0.6019  0.3981  0.5914  6 Ir 3.07-3.39
La  0.8981  0.1019  0.0914  6 Ir 3.07-3.39
Ce  0.0000  0.0000  0.5000  4 Ir 2.71
Ce  0.0400  0.4600  0.7500  5 Ir 2.77-2.92
Ce  0.4600  0.0400  0.2500  5 Ir 2.77-2.92
Ce  0.5000  0.5000  0.0000  4 Ir 2.71
Ce  0.5400  0.9600  0.7500  5 Ir 2.77-2.92
Ce  0.9600  0.5400  0.2500  5 Ir 2.77-2.92
Ir  0.2052  0.7948  0.5450  4 Ce 2.77-2.92
Ir  0.2165  0.2835  0.7500  3 Ce 2.71-2.79
Ir  0.2835  0.2165  0.2500  3 Ce 2.71-2.79
Ir  0.2948  0.7052  0.0450  4 Ce 2.77-2.92
Ir  0.7052  0.2948  0.9550  4 Ce 2.77-2.92
Ir  0.7165  0.7835  0.7500  3 Ce 2.71-2.79
Ir  0.7835  0.7165  0.2500  3 Ce 2.71-2.79
Ir  0.7948  0.2052  0.4550  4 Ce 2.77-2.92

Output
- DFT total energy (eV per atom) = -7.644
- space group = Cmce
- M_tot (μB per formula unit) = 0.0
- calculated density (g cm⁻³) = 10.903

Entry 4:
First-principles (PBE) data for a relaxed structure of CaReTc2, as listed in the Alexandria database.

Lattice parameters (Å, degrees): 7.4049 7.4049 5.7544 90.00 90.00 90.00
Closest atoms and distances in Å follow each position.
Fractional coordinates of all 16 atoms:
Ca  0.0000  0.0000  0.0000  2 Re 2.88, 8 Tc 3.04-3.17
Ca  0.0000  0.5000  0.2500  2 Re 2.88, 8 Tc 3.04-3.17
Ca  0.5000  0.0000  0.7500  2 Re 2.88, 8 Tc 3.04-3.17
Ca  0.5000  0.5000  0.5000  2 Re 2.88, 8 Tc 3.04-3.17
Re  0.0000  0.0000  0.5000  4 Tc 2.43
Re  0.0000  0.5000  0.7500  4 Tc 2.43
Re  0.5000  0.0000  0.2500  4 Tc 2.43
Re  0.5000  0.5000  0.0000  4 Tc 2.43
Tc  0.1901  0.2500  0.6250  2 Re 2.43
Tc  0.2500  0.6901  0.8750  2 Re 2.43
Tc  0.2500  0.8099  0.3750  2 Re 2.43
Tc  0.3099  0.2500  0.1250  2 Re 2.43
Tc  0.6901  0.7500  0.1250  2 Re 2.43
Tc  0.7500  0.1901  0.3750  2 Re 2.43
Tc  0.7500  0.3099  0.8750  2 Re 2.43
Tc  0.8099  0.7500  0.6250  2 Re 2.43

Output
- relative energy among the computed polymorphs (eV/f.u.) = 1.61
- space group = I-42d
- M_tot (μB per formula unit) = 0.0
- calculated density (g cm⁻³) = 8.890

Entry 5:
First-principles (PBE) data for a relaxed structure of Co2SnBr, as listed in the Alexandria database.

Lattice parameters (Å, degrees): 6.3997 6.3997 6.3997 90.00 90.00 90.00
Closest atoms and distances in Å follow each position.
Fractional coordinates of all 16 atoms:
Co  0.2500  0.2500  0.2500  4 Br 2.77, 4 Sn 2.77
Co  0.2500  0.2500  0.7500  4 Sn 2.77, 4 Br 2.77
Co  0.2500  0.7500  0.2500  4 Sn 2.77, 4 Br 2.77
Co  0.2500  0.7500  0.7500  4 Br 2.77, 4 Sn 2.77
Co  0.7500  0.2500  0.2500  4 Sn 2.77, 4 Br 2.77
Co  0.7500  0.2500  0.7500  4 Br 2.77, 4 Sn 2.77
Co  0.7500  0.7500  0.2500  4 Br 2.77, 4 Sn 2.77
Co  0.7500  0.7500  0.7500  4 Sn 2.77, 4 Br 2.77
Sn  0.0000  0.0000  0.0000  8 Co 2.77
Sn  0.0000  0.5000  0.5000  8 Co 2.77
Sn  0.5000  0.0000  0.5000  8 Co 2.77
Sn  0.5000  0.5000  0.0000  8 Co 2.77
Br  0.0000  0.0000  0.5000  8 Co 2.77
Br  0.0000  0.5000  0.0000  8 Co 2.77
Br  0.5000  0.0000  0.0000  8 Co 2.77
Br  0.5000  0.5000  0.5000  8 Co 2.77

Output
- relative energy among the computed polymorphs (eV/f.u.) = 0.39
- space group = Fm-3m
- formation energy (no corrections) (eV/f.u.) = 2.6
- M_tot (μB per formula unit) = 1.7
- calculated density (g cm⁻³) = 8.020

Entry 6:
First-principles (PBE) data for a relaxed structure of BaIn4Rh, as listed in the Alexandria database.

Lattice parameters (Å, degrees): 6.1067 6.1067 6.1067 60.00 60.00 60.00
Closest atoms and distances in Å follow each position.
Fractional coordinates of all 6 atoms:
Ba  0.0000  0.0000  0.0000  12 In 3.58, 4 Rh 3.74
In  0.1276  0.6241  0.6241  6 In 3.03-3.07
In  0.6241  0.1276  0.6241  6 In 3.03-3.07
In  0.6241  0.6241  0.1276  6 In 3.03-3.07
In  0.6241  0.6241  0.6241  6 In 3.03-3.07
Rh  0.2500  0.2500  0.2500  12 In 3.58, 4 Ba 3.74

Output
- DFT total energy (eV per atom) = -3.281
- space group = F-43m
- M_tot (μB per formula unit) = 0.0
- calculated density (g cm⁻³) = 7.213

Entry 7:
First-principles (PBE) data for a relaxed structure of In2FeNi, as listed in the Alexandria database.

Lattice parameters (Å, degrees): 7.1586 7.1586 5.7071 90.00 90.00 90.00
Closest atoms and distances in Å follow each position.
Fractional coordinates of all 16 atoms:
In  0.2345  0.7500  0.1250  2 Ni 2.56, 2 Fe 2.71
In  0.2500  0.2345  0.8750  2 Ni 2.56, 2 Fe 2.71
In  0.2500  0.2655  0.3750  2 Ni 2.56, 2 Fe 2.71
In  0.2655  0.7500  0.6250  2 Ni 2.56, 2 Fe 2.71
In  0.7345  0.2500  0.6250  2 Ni 2.56, 2 Fe 2.71
In  0.7500  0.7345  0.3750  2 Ni 2.56, 2 Fe 2.71
In  0.7500  0.7655  0.8750  2 Ni 2.56, 2 Fe 2.71
In  0.7655  0.2500  0.1250  2 Ni 2.56, 2 Fe 2.71
Fe  0.0000  0.0000  0.5000  4 In 2.71, 2 Ni 2.85
Fe  0.0000  0.5000  0.7500  4 In 2.71, 2 Ni 2.85
Fe  0.5000  0.0000  0.2500  4 In 2.71, 2 Ni 2.85
Fe  0.5000  0.5000  0.0000  4 In 2.71, 2 Ni 2.85
Ni  0.0000  0.0000  0.0000  4 In 2.56, 2 Fe 2.85
Ni  0.0000  0.5000  0.2500  4 In 2.56, 2 Fe 2.85
Ni  0.5000  0.0000  0.7500  4 In 2.56, 2 Fe 2.85
Ni  0.5000  0.5000  0.5000  4 In 2.56, 2 Fe 2.85

Output
- DFT total energy (eV per atom) = -4.460
- space group = I-42d
- M_tot (μB per formula unit) = 2.4
- calculated density (g cm⁻³) = 7.817

Entry 8:
First-principles (PBE) data for a relaxed structure of KAc2Au6, as listed in the Alexandria database.

Lattice parameters (Å, degrees): 8.3993 8.3993 3.9363 90.00 90.00 120.00
Closest atoms and distances in Å follow each position.
Fractional coordinates of all 9 atoms:
K  0.0000  0.0000  0.0000  12 Au 3.43
Ac  0.3333  0.6667  0.0000  12 Au 3.42
Ac  0.6667  0.3333  0.0000  12 Au 3.42
Au  0.0000  0.3341  0.5000  3 Au 2.79-2.81
Au  0.0000  0.6659  0.5000  3 Au 2.79-2.81
Au  0.3341  0.0000  0.5000  3 Au 2.79-2.81
Au  0.3341  0.3341  0.5000  3 Au 2.79-2.81
Au  0.6659  0.0000  0.5000  3 Au 2.79-2.81
Au  0.6659  0.6659  0.5000  3 Au 2.79-2.81

Output
- relative energy among the computed polymorphs (eV/f.u.) = 0.00
- space group = P6/mmm
- M_tot (μB per formula unit) = 0.0
- calculated density (g cm⁻³) = 11.565

Entry 9:
First-principles (PBE) data for a relaxed structure of Cs2PaHgCl6, as listed in the Alexandria database.

Lattice parameters (Å, degrees): 20.1051 20.1051 20.1051 22.09 22.09 22.09
Closest atoms and distances in Å follow each position.
Fractional coordinates of all 20 atoms:
Cs  0.1428  0.1428  0.1428  9 Cl 3.68-3.85
Cs  0.3095  0.3095  0.3095  9 Cl 3.68-3.85
Cs  0.6905  0.6905  0.6905  9 Cl 3.68-3.85
Cs  0.8572  0.8572  0.8572  9 Cl 3.68-3.85
Pa  0.0000  0.0000  0.0000  6 Cl 2.65
Pa  0.5000  0.5000  0.5000  6 Cl 2.65
Hg  0.4154  0.4154  0.4154  6 Cl 4.02-4.11
Hg  0.5846  0.5846  0.5846  6 Cl 4.02-4.11
Cl  0.1461  0.6388  0.6388  1 Pa 2.65
Cl  0.1894  0.1894  0.6977  1 Pa 2.65
Cl  0.1894  0.6977  0.1894  1 Pa 2.65
Cl  0.3023  0.8106  0.8106  1 Pa 2.65
Cl  0.3612  0.3612  0.8539  1 Pa 2.65
Cl  0.3612  0.8539  0.3612  1 Pa 2.65
Cl  0.6388  0.1461  0.6388  1 Pa 2.65
Cl  0.6388  0.6388  0.1461  1 Pa 2.65
Cl  0.6977  0.1894  0.1894  1 Pa 2.65
Cl  0.8106  0.3023  0.8106  1 Pa 2.65
Cl  0.8106  0.8106  0.3023  1 Pa 2.65
Cl  0.8539  0.3612  0.3612  1 Pa 2.65

Output
- space group = R-3m
- formation energy (no corrections) (eV/f.u.) = -17.9
- M_tot (μB per formula unit) = 1.0
- calculated density (g cm⁻³) = 2.999

Entry 10:
First-principles (PBE) data for a relaxed structure of Ba2CdBiS5, as listed in the Alexandria database.

Lattice parameters (Å, degrees): 9.4866 9.4866 12.7728 90.00 90.00 154.07
Closest atoms and distances in Å follow each position.
Fractional coordinates of all 18 atoms:
Ba  0.1045  0.8955  0.5000  6 S 3.14-3.51
Ba  0.1269  0.8731  0.1229  8 S 3.15-3.39
Ba  0.8731  0.1269  0.6229  8 S 3.15-3.39
Ba  0.8955  0.1045  0.0000  6 S 3.14-3.51
Cd  0.4451  0.5549  0.2670  3 S 2.48-2.53
Cd  0.5549  0.4451  0.7670  3 S 2.48-2.53
Bi  0.2189  0.7811  0.8363  6 S 2.66-2.90
Bi  0.7811  0.2189  0.3363  6 S 2.66-2.90
S  0.0642  0.9358  0.8732  2 Cd 2.53
S  0.2760  0.7240  0.4811  2 Bi 2.82
S  0.3016  0.6984  0.1911  1 Cd 2.83, 2 Bi 2.85
S  0.3621  0.6379  0.8157  1 Bi 2.66
S  0.4968  0.5032  0.5920  1 Cd 2.48
S  0.5032  0.4968  0.0920  1 Cd 2.48
S  0.6379  0.3621  0.3157  1 Bi 2.66
S  0.6984  0.3016  0.6911  1 Cd 2.83, 2 Bi 2.85
S  0.7240  0.2760  0.9811  2 Bi 2.82
S  0.9358  0.0642  0.3732  2 Cd 2.53

Output
- space group = Cmc2_1
- formation energy (no corrections) (eV/f.u.) = -9.9
- M_tot (μB per formula unit) = 0.0
- calculated density (g cm⁻³) = 4.998

Entry 11:
First-principles (PBE) data for a relaxed structure of SrTa2F, as listed in the Alexandria database.

Lattice parameters (Å, degrees): 6.8718 6.8718 6.8718 90.00 90.00 90.00
Closest atoms and distances in Å follow each position.
Fractional coordinates of all 16 atoms:
Sr  0.0000  0.0000  0.0000  8 Ta 2.98
Sr  0.0000  0.5000  0.5000  8 Ta 2.98
Sr  0.5000  0.0000  0.5000  8 Ta 2.98
Sr  0.5000  0.5000  0.0000  8 Ta 2.98
Ta  0.2500  0.2500  0.2500  4 F 2.98, 4 Sr 2.98
Ta  0.2500  0.2500  0.7500  4 F 2.98, 4 Sr 2.98
Ta  0.2500  0.7500  0.2500  4 F 2.98, 4 Sr 2.98
Ta  0.2500  0.7500  0.7500  4 F 2.98, 4 Sr 2.98
Ta  0.7500  0.2500  0.2500  4 F 2.98, 4 Sr 2.98
Ta  0.7500  0.2500  0.7500  4 F 2.98, 4 Sr 2.98
Ta  0.7500  0.7500  0.2500  4 F 2.98, 4 Sr 2.98
Ta  0.7500  0.7500  0.7500  4 Sr 2.98, 4 F 2.98
F  0.0000  0.0000  0.5000  8 Ta 2.98
F  0.0000  0.5000  0.0000  8 Ta 2.98
F  0.5000  0.0000  0.0000  8 Ta 2.98
F  0.5000  0.5000  0.5000  8 Ta 2.98

Output
- relative energy among the computed polymorphs (eV/f.u.) = 3.69
- space group = Fm-3m
- formation energy (no corrections) (eV/f.u.) = 5.7
- M_tot (μB per formula unit) = 0.0
- calculated density (g cm⁻³) = 9.590

Entry 12:
First-principles (PBE) data for a relaxed structure of Ce2NbN, as listed in the Alexandria database.

Lattice parameters (Å, degrees): 3.2696 3.2696 25.9382 90.00 90.00 120.00
Closest atoms and distances in Å follow each position.
Fractional coordinates of all 12 atoms:
Ce  0.0000  0.0000  0.1084  3 N 2.42
Ce  0.0000  0.0000  0.8916  3 N 2.42
Ce  0.3333  0.6667  0.5582  3 N 2.42
Ce  0.3333  0.6667  0.7751  3 N 2.42
Ce  0.6667  0.3333  0.2249  3 N 2.42
Ce  0.6667  0.3333  0.4418  3 N 2.42
Nb  0.0000  0.0000  0.0000  2 Ce 2.81
Nb  0.3333  0.6667  0.6667  2 Ce 2.81
Nb  0.6667  0.3333  0.3333  2 Ce 2.81
N  0.0000  0.0000  0.5000  6 Ce 2.42
N  0.3333  0.6667  0.1667  6 Ce 2.42
N  0.6667  0.3333  0.8333  6 Ce 2.42

Output
- space group = R-3m
- formation energy (no corrections) (eV/f.u.) = -1.1
- M_tot (μB per formula unit) = 0.0
- calculated density (g cm⁻³) = 8.031